[1]
# Li2CeS3 (PBE-GGA, optimized geometry)
# uncorrected energy: -60.5 eV for the cell shown
# formation energy without anion corrections: -1355 meV per atom
# energy above the most stable polymorph in this dataset: 0.206 eV per atom
data_Li2CeS3
_space_group_name_H-M_alt 'P 1'
_space_group_IT_number 1
_cell_length_a 7.519
_cell_length_b 7.519
_cell_length_c 4.463
_cell_angle_alpha 90.00
_cell_angle_beta 90.00
_cell_angle_gamma 113.94
loop_
_space_group_symop_operation_xyz
'x,y,z'
loop_
_atom_site_label
_atom_site_type_symbol
_atom_site_fract_x
_atom_site_fract_y
_atom_site_fract_z
_atom_site_occupancy
Li1 Li 0.197 0.197 0.000 1
Li2 Li 0.197 0.197 0.500 1
Li3 Li 0.803 0.803 0.000 1
Li4 Li 0.803 0.803 0.500 1
Ce1 Ce 0.250 0.750 0.750 1
Ce2 Ce 0.750 0.250 0.250 1
S1 S 0.108 0.892 0.250 1
S2 S 0.164 0.461 0.250 1
S3 S 0.461 0.164 0.750 1
S4 S 0.539 0.836 0.250 1
S5 S 0.836 0.539 0.750 1
S6 S 0.892 0.108 0.750 1


[2]
# Sc2SiGe2 (PBE-GGA, optimized geometry)
# uncorrected energy: -60.0 eV for the cell shown
# formation energy without anion corrections: -531 meV per atom
# energy above the most stable polymorph in this dataset: 0.000 eV per atom
data_Sc2SiGe2
_space_group_name_H-M_alt 'P 1'
_space_group_IT_number 1
_cell_length_a 6.807
_cell_length_b 6.807
_cell_length_c 4.003
_cell_angle_alpha 90.00
_cell_angle_beta 90.00
_cell_angle_gamma 90.00
loop_
_space_group_symop_operation_xyz
'x,y,z'
loop_
_atom_site_label
_atom_site_type_symbol
_atom_site_fract_x
_atom_site_fract_y
_atom_site_fract_z
_atom_site_occupancy
Sc1 Sc 0.176 0.324 0.000 1
Sc2 Sc 0.324 0.824 0.000 1
Sc3 Sc 0.676 0.176 0.000 1
Sc4 Sc 0.824 0.676 0.000 1
Si1 Si 0.000 0.000 0.500 1
Si2 Si 0.500 0.500 0.500 1
Ge1 Ge 0.132 0.632 0.500 1
Ge2 Ge 0.368 0.132 0.500 1
Ge3 Ge 0.632 0.868 0.500 1
Ge4 Ge 0.868 0.368 0.500 1


[3]
# Ca3Al2Cd4 (PBE-GGA, optimized geometry)
# uncorrected energy: -19.9 eV for the cell shown
data_Ca3Al2Cd4
_space_group_name_H-M_alt 'P 1'
_space_group_IT_number 1
_cell_length_a 6.098
_cell_length_b 6.098
_cell_length_c 9.219
_cell_angle_alpha 114.10
_cell_angle_beta 114.10
_cell_angle_gamma 47.05
loop_
_space_group_symop_operation_xyz
'x,y,z'
loop_
_atom_site_label
_atom_site_type_symbol
_atom_site_fract_x
_atom_site_fract_y
_atom_site_fract_z
_atom_site_occupancy
Ca1 Ca 0.000 0.000 0.000 1
Ca2 Ca 0.339 0.339 0.330 1
Ca3 Ca 0.661 0.661 0.670 1
Al1 Al 0.385 0.385 0.718 1
Al2 Al 0.615 0.615 0.282 1
Cd1 Cd 0.072 0.072 0.399 1
Cd2 Cd 0.291 0.291 0.950 1
Cd3 Cd 0.709 0.709 0.050 1
Cd4 Cd 0.928 0.928 0.601 1